[1]
Computed, not measured: an optimized crystal structure of CeSiTc2Ge2 at the PBE-GGA level of DFT.

Summary:
Space-group type: P4/mmm (123)
ρ in g cm⁻³: 7.5
ΔE_f (raw) in eV/atom: -0.25
Density of states at the Fermi level in states/eV/cell: 9.58
Crystal system: tetragonal

The structure in CIF format:
```
data_CeSiTc2Ge2
_chemical_formula_sum 'Ce1 Si1 Tc2 Ge2'
_cell_length_a 4.495
_cell_length_b 4.495
_cell_length_c 5.598
_cell_angle_alpha 90.00
_cell_angle_beta 90.00
_cell_angle_gamma 90.00
_space_group_name_H-M_alt 'P 1'
_space_group_IT_number 1
loop_
_space_group_symop_operation_xyz
'x,y,z'
loop_
_atom_site_label
_atom_site_fract_x
_atom_site_fract_y
_atom_site_fract_z
Ce1 0.000 0.000 0.000
Si1 0.000 0.000 0.500
Tc1 0.000 0.500 0.500
Tc2 0.500 0.000 0.500
Ge1 0.500 0.500 0.231
Ge2 0.500 0.500 0.769
```

=====

[2]
Computed, not measured: an optimized crystal structure of Sm2Y5HoEr at the PBE-GGA level of DFT.

Summary:
Space-group type: I4/mcm (140)
ρ in g cm⁻³: 6.1
Calculated formation energy in eV per atom: 0.270
Density of states at the Fermi level in states/eV/cell: 24.61
Crystal system: tetragonal

The structure in CIF format:
```
data_Sm2Y5HoEr
_chemical_formula_sum 'Sm4 Y10 Ho2 Er2'
_cell_length_a 9.922
_cell_length_b 9.922
_cell_length_c 9.922
_cell_angle_alpha 128.36
_cell_angle_beta 128.36
_cell_angle_gamma 76.04
_space_group_name_H-M_alt 'P 1'
_space_group_IT_number 1
loop_
_space_group_symop_operation_xyz
'x,y,z'
loop_
_atom_site_label
_atom_site_fract_x
_atom_site_fract_y
_atom_site_fract_z
Sm1 0.117 0.617 0.734
Sm2 0.383 0.117 0.500
Sm3 0.617 0.883 0.500
Sm4 0.883 0.383 0.266
Y1 0.000 0.000 0.000
Y2 0.071 0.151 0.500
Y3 0.151 0.651 0.080
Y4 0.349 0.429 0.500
Y5 0.429 0.929 0.080
Y6 0.500 0.500 0.000
Y7 0.571 0.071 0.920
Y8 0.651 0.571 0.500
Y9 0.849 0.349 0.920
Y10 0.929 0.849 0.500
Ho1 0.250 0.250 0.000
Ho2 0.750 0.750 0.000
Er1 0.250 0.750 0.500
Er2 0.750 0.250 0.500
```

=====

[3]
Computed, not measured: an optimized crystal structure of Li7Tl3Zn at the PBE-GGA level of DFT.

Summary:
Space-group type: Cmcm (63)
ρ in g cm⁻³: 5.5
Calculated formation energy in eV per atom: -0.131
Density of states at the Fermi level in states/eV/cell: 5.53
Crystal system: orthorhombic

The structure in CIF format:
```
data_Li7Tl3Zn
_chemical_formula_sum 'Li14 Tl6 Zn2'
_cell_length_a 10.839
_cell_length_b 10.839
_cell_length_c 13.370
_cell_angle_alpha 90.00
_cell_angle_beta 90.00
_cell_angle_gamma 163.66
_space_group_name_H-M_alt 'P 1'
_space_group_IT_number 1
loop_
_space_group_symop_operation_xyz
'x,y,z'
loop_
_atom_site_label
_atom_site_fract_x
_atom_site_fract_y
_atom_site_fract_z
Li1 0.014 0.986 0.624
Li2 0.014 0.986 0.876
Li3 0.112 0.888 0.250
Li4 0.154 0.846 0.623
Li5 0.154 0.846 0.877
Li6 0.206 0.794 0.066
Li7 0.206 0.794 0.434
Li8 0.794 0.206 0.566
Li9 0.794 0.206 0.934
Li10 0.846 0.154 0.123
Li11 0.846 0.154 0.377
Li12 0.888 0.112 0.750
Li13 0.986 0.014 0.124
Li14 0.986 0.014 0.376
Tl1 0.260 0.740 0.250
Tl2 0.410 0.590 0.538
Tl3 0.410 0.590 0.962
Tl4 0.590 0.410 0.038
Tl5 0.590 0.410 0.462
Tl6 0.740 0.260 0.750
Zn1 0.414 0.586 0.250
Zn2 0.586 0.414 0.750
```

=====

[4]
Computed, not measured: an optimized crystal structure of K3Y2TiTe6 at the PBE-GGA level of DFT.

Summary:
Space-group type: C2/m (12)
ρ in g cm⁻³: 4.5
ΔE_f (raw) in eV/atom: -1.19
Density of states at the Fermi level in states/eV/cell: 6.20
Crystal system: monoclinic

The structure in CIF format:
```
data_K3Y2TiTe6
_chemical_formula_sum 'K3 Y2 Ti1 Te6'
_cell_length_a 7.614
_cell_length_b 7.614
_cell_length_c 8.605
_cell_angle_alpha 98.52
_cell_angle_beta 98.52
_cell_angle_gamma 120.02
_space_group_name_H-M_alt 'P 1'
_space_group_IT_number 1
loop_
_space_group_symop_operation_xyz
'x,y,z'
loop_
_atom_site_label
_atom_site_fract_x
_atom_site_fract_y
_atom_site_fract_z
K1 0.000 0.000 0.000
K2 0.327 0.673 0.000
K3 0.673 0.327 0.000
Y1 0.166 0.834 0.500
Y2 0.834 0.166 0.500
Ti1 0.500 0.500 0.500
Te1 0.118 0.433 0.298
Te2 0.254 0.254 0.704
Te3 0.433 0.118 0.298
Te4 0.567 0.882 0.702
Te5 0.746 0.746 0.296
Te6 0.882 0.567 0.702
```

=====

[5]
Computed, not measured: an optimized crystal structure of PmHoMg3 at the PBE-GGA level of DFT.

Summary:
Space-group type: C2/c (15)
ρ in g cm⁻³: 4.7
Calculated formation energy in eV per atom: -0.040
Density of states at the Fermi level in states/eV/cell: 20.58
Crystal system: monoclinic

The structure in CIF format:
```
data_PmHoMg3
_chemical_formula_sum 'Pm4 Ho4 Mg12'
_cell_length_a 11.436
_cell_length_b 11.436
_cell_length_c 5.214
_cell_angle_alpha 103.15
_cell_angle_beta 103.15
_cell_angle_gamma 55.23
_space_group_name_H-M_alt 'P 1'
_space_group_IT_number 1
loop_
_space_group_symop_operation_xyz
'x,y,z'
loop_
_atom_site_label
_atom_site_fract_x
_atom_site_fract_y
_atom_site_fract_z
Pm1 0.073 0.323 0.449
Pm2 0.323 0.073 0.949
Pm3 0.677 0.927 0.051
Pm4 0.927 0.677 0.551
Ho1 0.127 0.873 0.750
Ho2 0.369 0.631 0.250
Ho3 0.631 0.369 0.750
Ho4 0.873 0.127 0.250
Mg1 0.027 0.780 0.154
Mg2 0.168 0.451 0.060
Mg3 0.220 0.973 0.346
Mg4 0.279 0.507 0.644
Mg5 0.451 0.168 0.560
Mg6 0.493 0.721 0.856
Mg7 0.507 0.279 0.144
Mg8 0.549 0.832 0.440
Mg9 0.721 0.493 0.356
Mg10 0.780 0.027 0.654
Mg11 0.832 0.549 0.940
Mg12 0.973 0.220 0.846
```

=====

[6]
Computed, not measured: an optimized crystal structure of CsPtI6 at the PBE-GGA level of DFT.

Summary:
Space-group type: R-3m (166)
ρ in g cm⁻³: 5.3
ΔE_f (raw) in eV/atom: -0.39
Density of states at the Fermi level in states/eV/cell: 12.49
Crystal system: trigonal

The structure in CIF format:
```
data_CsPtI6
_chemical_formula_sum 'Cs1 Pt1 I6'
_cell_length_a 7.145
_cell_length_b 7.145
_cell_length_c 7.145
_cell_angle_alpha 100.66
_cell_angle_beta 100.66
_cell_angle_gamma 100.66
_space_group_name_H-M_alt 'P 1'
_space_group_IT_number 1
loop_
_space_group_symop_operation_xyz
'x,y,z'
loop_
_atom_site_label
_atom_site_fract_x
_atom_site_fract_y
_atom_site_fract_z
Cs1 0.000 0.000 0.000
Pt1 0.500 0.500 0.500
I1 0.224 0.224 0.569
I2 0.224 0.569 0.224
I3 0.431 0.776 0.776
I4 0.569 0.224 0.224
I5 0.776 0.431 0.776
I6 0.776 0.776 0.431
```